1.
TbSiNiRh | PBE-GGA | relaxed

Lattice parameters (Å, degrees): 4.214 3.751 9.363 90.00 90.00 90.00
Space group Amm2 (No. 38)
Symmetry-distinct sites (fractional):
Tb1 0.000 0.000 0.000
Si1 0.500 0.000 0.615
Ni1 0.500 0.000 0.258
Rh1 0.000 0.000 0.722

* mass density: 7.8 g/cm3
* uncorrected formation energy: -0.479 eV per atom

2.
DyPaAs2N | PBE-GGA | relaxed

Lattice parameters (Å, degrees): 3.986 3.986 13.520 90.00 90.00 90.00
Space group P4/nmm (No. 129, origin choice 2)
Symmetry-distinct sites (fractional):
Dy1 0.250 0.250 0.106
Pa1 0.250 0.250 0.587
As1 0.250 0.250 0.317
As2 0.250 0.250 0.886
N1 0.250 0.750 0.500

* mass density: 8.6 g/cm3
* uncorrected formation energy: -1.251 eV per atom

3.
Nd3Dy2Tm | PBE-GGA | relaxed

Lattice parameters (Å, degrees): 17.940 7.250 6.293 90.00 103.53 90.00
Space group C2/c (No. 15)
Symmetry-distinct sites (fractional):
Nd1 0.000 0.128 0.250
Nd2 0.167 0.126 0.025
Dy1 0.165 0.377 0.529
Tm1 0.000 0.378 0.750

* mass density: 7.7 g/cm3
* offset from the most stable computed form: 0.000 eV per atom
* energy of formation: 11 meV/atom

4.
DyNbNi10 | PBE-GGA | relaxed

Lattice parameters (Å, degrees): 3.969 4.759 8.253 90.00 90.00 90.00
Space group Pmmm (No. 47)
Symmetry-distinct sites (fractional):
Dy1 0.000 0.000 0.000
Nb1 0.000 0.500 0.500
Ni1 0.000 0.000 0.343
Ni2 0.000 0.500 0.180
Ni3 0.500 0.000 0.500
Ni4 0.500 0.255 0.259
Ni5 0.500 0.500 0.000

* mass density: 9.0 g/cm3
* energy of formation: -182 meV/atom

5.
CaOsCl2 | PBE-GGA | relaxed

Lattice parameters (Å, degrees): 13.150 3.352 5.030 90.00 91.44 90.00
Space group C2/m (No. 12)
Symmetry-distinct sites (fractional):
Ca1 0.000 0.000 0.000
Os1 0.000 0.500 0.500
Cl1 0.145 0.500 0.768

* mass density: 4.5 g/cm3
* uncorrected formation energy: -0.375 eV per atom
* offset from the most stable computed form: 0.035 eV per atom

6.
ErBiPt4 | PBE-GGA | relaxed

Lattice parameters (Å, degrees): 7.707 7.707 7.707 90.00 90.00 90.00
Space group F-43m (No. 216)
Symmetry-distinct sites (fractional):
Er1 0.000 0.000 0.000
Bi1 0.250 0.250 0.750
Pt1 0.125 0.125 0.375

* mass density: 16.8 g/cm3
* energy of formation: -668 meV/atom

7.
ReHgW | PBE-GGA | relaxed

Lattice parameters (Å, degrees): 3.135 4.681 14.448 90.00 90.00 90.00
Space group Fmm2 (No. 42)
Symmetry-distinct sites (fractional):
Re1 0.000 0.000 0.000
Hg1 0.000 0.000 0.680
W1 0.000 0.000 0.359

* mass density: 17.9 g/cm3
* offset from the most stable computed form: 0.026 eV per atom
* energy of formation: 603 meV/atom

8.
Sm4CdHg2Au | PBE-GGA | relaxed

Lattice parameters (Å, degrees): 5.3271 5.3271 26.0501 90.00 90.00 120.00
Space group R-3m (No. 166, hexagonal axes)
Symmetry-distinct sites (fractional):
Sm1 0.0000 0.0000 0.1192
Sm2 0.0000 0.0000 0.3706
Cd1 0.0000 0.0000 0.5000
Hg1 0.0000 0.0000 0.2420
Au1 0.0000 0.0000 0.0000

* mass density: 10.2 g/cm3
* energy of formation: -518 meV/atom

9.
Si2AgTe6Pb | PBE-GGA | relaxed

Lattice parameters (Å, degrees): 14.386 13.535 7.229 90.00 106.18 90.00
Space group C2/c (No. 15)
Symmetry-distinct sites (fractional):
Si1 0.204 0.070 0.233
Ag1 0.000 0.207 0.750
Te1 0.113 0.425 0.692
Te2 0.133 0.079 0.521
Te3 0.146 0.238 0.076
Pb1 0.000 0.373 0.250

* mass density: 5.6 g/cm3
* uncorrected formation energy: -0.034 eV per atom

10.
YSi2Ag | PBE-GGA | relaxed

Lattice parameters (Å, degrees): 4.186 4.186 8.922 90.00 90.00 90.00
Space group I4/mmm (No. 139)
Symmetry-distinct sites (fractional):
Y1 0.000 0.000 0.000
Si1 0.000 0.500 0.250
Ag1 0.000 0.000 0.500

* mass density: 5.4 g/cm3
* uncorrected formation energy: -0.023 eV per atom

11.
ZnOs2Pt | PBE-GGA | relaxed

Lattice parameters (Å, degrees): 2.7533 2.7533 26.8329 90.00 90.00 120.00
Space group R3m (No. 160, hexagonal axes)
Symmetry-distinct sites (fractional):
Zn1 0.0000 0.0000 0.0000
Os1 0.0000 0.0000 0.4952
Os2 0.0000 0.0000 0.7507
Pt1 0.0000 0.0000 0.2505

* mass density: 18.1 g/cm3
* energy of formation: 2 meV/atom

12.
Zr2ScNi | PBE-GGA | relaxed

Lattice parameters (Å, degrees): 3.305 4.839 10.073 90.00 90.00 90.00
Space group Immm (No. 71)
Symmetry-distinct sites (fractional):
Zr1 0.000 0.000 0.211
Sc1 0.000 0.500 0.000
Ni1 0.000 0.500 0.500

* mass density: 5.9 g/cm3
* offset from the most stable computed form: 0.087 eV per atom
* energy of formation: -155 meV/atom

13.
La12DyY2 | PBE-GGA | relaxed

Lattice parameters (Å, degrees): 7.262 11.858 25.062 90.00 90.00 90.00
Space group Cmme (No. 67)
Symmetry-distinct sites (fractional):
La1 0.000 0.005 0.072
La2 0.000 0.030 0.559
La3 0.226 0.250 0.418
La4 0.245 0.250 0.867
La5 0.250 0.000 0.199
La6 0.250 0.000 0.326
Dy1 0.000 0.250 0.998
Y1 0.000 0.250 0.270
Y2 0.000 0.250 0.725

* mass density: 6.2 g/cm3
* energy of formation: 126 meV/atom

14.
Ho3TmTl4S8 | PBE-GGA | relaxed

Lattice parameters (Å, degrees): 8.0056 8.0056 22.5744 90.00 90.00 120.00
Space group R-3m (No. 166, hexagonal axes)
Symmetry-distinct sites (fractional):
Ho1 0.0000 0.5000 0.0000
Tm1 0.0000 0.0000 0.0000
Tl1 0.0000 0.0000 0.5000
Tl2 0.0000 0.5000 0.5000
S1 0.0000 0.0000 0.2676
S2 0.0021 0.5010 0.7321

* mass density: 6.9 g/cm3
* uncorrected formation energy: -1.490 eV per atom

15.
LaThRhAu | PBE-GGA | relaxed

Lattice parameters (Å, degrees): 7.327 7.327 7.327 90.00 90.00 90.00
Space group F-43m (No. 216)
Symmetry-distinct sites (fractional):
La1 0.000 0.000 0.000
Th1 0.000 0.000 0.500
Rh1 0.250 0.250 0.750
Au1 0.250 0.250 0.250

* mass density: 11.3 g/cm3
* offset from the most stable computed form: 0.130 eV per atom
* energy of formation: -640 meV/atom

16.
Ca6IrPt | PBE-GGA | relaxed

Lattice parameters (Å, degrees): 6.8525 6.8525 13.4025 90.00 90.00 120.00
Space group P-31c (No. 163)
Symmetry-distinct sites (fractional):
Ca1 0.0030 0.3304 0.1226
Ir1 0.0000 0.0000 0.0000
Pt1 0.3333 0.6667 0.2500

* mass density: 3.8 g/cm3
* energy of formation: -417 meV/atom

17.
Hf2TcPt2 | PBE-GGA | relaxed

Lattice parameters (Å, degrees): 7.415 7.415 3.319 90.00 90.00 90.00
Space group P4/mbm (No. 127)
Symmetry-distinct sites (fractional):
Hf1 0.172 0.328 0.000
Tc1 0.000 0.000 0.500
Pt1 0.130 0.630 0.500

* mass density: 15.4 g/cm3
* energy of formation: -618 meV/atom

18.
CuTcHg | PBE-GGA | relaxed

Lattice parameters (Å, degrees): 2.8403 2.8403 6.8837 90.00 90.00 120.00
Space group P3m1 (No. 156)
Symmetry-distinct sites (fractional):
Cu1 0.0000 0.0000 0.0000
Tc1 0.3333 0.6667 0.7013
Hg1 0.6667 0.3333 0.3398

* mass density: 12.5 g/cm3
* offset from the most stable computed form: 0.015 eV per atom
* energy of formation: 494 meV/atom

19.
DyTeSe | PBE-GGA | relaxed

Lattice parameters (Å, degrees): 7.166 5.205 9.911 90.00 94.89 90.00
Space group C2/m (No. 12)
Symmetry-distinct sites (fractional):
Dy1 0.192 0.000 0.192
Te1 0.081 0.500 0.373
Se1 0.198 0.000 0.895

* mass density: 6.7 g/cm3
* uncorrected formation energy: -1.350 eV per atom
* offset from the most stable computed form: 0.058 eV per atom

20.
SbBr2Cl | PBE-GGA | relaxed

Lattice parameters (Å, degrees): 5.330 14.787 4.073 90.00 90.00 90.00
Space group Cmmm (No. 65)
Symmetry-distinct sites (fractional):
Sb1 0.000 0.000 0.000
Br1 0.000 0.134 0.500
Cl1 0.000 0.500 0.000

* mass density: 3.3 g/cm3
* uncorrected formation energy: -0.651 eV per atom
* offset from the most stable computed form: 0.043 eV per atom